No. 1
GaNiBrCl4 PBE-GGA relaxed; ΔE_f (raw) = -5.40 eV/f.u.; symmetry = C2/m; size of the total moment = 2.031 μB/f.u.
1.0
7.391 0.440 1.692
2.864 6.828 1.692
3.782 2.680 10.383
Cl Br Ni Ga
8 2 2 2
Cartesian
3.529 2.502 6.530 Cl
4.973 1.467 3.426 Cl
9.064 8.482 10.341 Cl
7.718 5.470 8.589 Cl
3.031 4.206 3.426 Cl
6.318 4.478 5.178 Cl
10.507 7.447 7.238 Cl
11.005 5.743 10.341 Cl
1.289 0.913 0.687 Br
12.748 9.035 13.081 Br
4.310 3.055 8.760 Ni
9.726 6.894 5.007 Ni
4.618 3.273 4.729 Ga
9.418 6.675 9.038 Ga

No. 2
Ga2BrClO PBE-GGA relaxed; ΔE_f (raw) = 2.35 eV/f.u.; symmetry = P4/mmm; size of the total moment = 1.113 μB/f.u.
1.0
-3.197 2.402 3.995
-1.671 -4.693 1.485
4.293 -0.371 3.659
Ga O Cl Br
2 1 1 1
Cartesian
-1.599 1.201 1.998 Ga
2.147 -0.185 1.829 Ga
-0.287 -1.331 4.570 O
0.000 0.000 0.000 Cl
-0.835 -2.347 0.743 Br

No. 3
GaPBrCl2 PBE-GGA relaxed; offset from the most stable computed form = 0 meV per atom; ΔE_f (raw) = 0.18 eV/f.u.; symmetry = P4/mmm; size of the total moment = 0.853 μB/f.u.
1.0
4.644 0.000 0.000
0.000 4.644 0.000
0.000 0.000 5.479
Cl Ga Br P
2 1 1 1
Cartesian
2.322 0.000 0.000 Cl
0.000 2.322 0.000 Cl
0.000 0.000 0.000 Ga
2.322 2.322 2.739 Br
0.000 0.000 2.739 P